A plane-wave DFT calculation with GGA-PBE was carried out for an optimized crystal structure of DyYMgSc.

Properties
ΔH_f (0 K) ... 0.02 eV/atom
Density of states at the Fermi level ... 4.39 states/eV/cell
Excess energy over the best structure of this formula in the dataset ... 0 kJ/mol of formula units
Space-group type ... No. 216
Size of the total moment ... 0.000 μB/f.u.

Cell lengths 5.386, 5.386, 5.386 Å; angles 60.00, 60.00, 60.00 degrees
Fractional positions:
1 Y 0.750 0.750 0.750
2 Mg 0.500 0.500 0.500
3 Dy 0.250 0.250 0.250
4 Sc 0.000 0.000 0.000

A plane-wave DFT calculation with GGA-PBE was carried out for an optimized crystal structure of Zr2ZnIr.

Properties
ΔH_f (0 K) ... -0.40 eV/atom
Density of states at the Fermi level ... 2.65 states/eV/cell
Space-group type ... No. 99
Size of the total moment ... 0.000 μB/f.u.

Cell lengths 3.310, 3.310, 6.768 Å; angles 90.00, 90.00, 90.00 degrees
Fractional positions:
1 Zr 0.500 0.500 0.287
2 Zr 0.000 0.000 0.978
3 Zn 0.500 0.500 0.720
4 Ir 0.000 0.000 0.514

A plane-wave DFT calculation with GGA-PBE was carried out for an optimized crystal structure of Tl4CuCl6.

Properties
ΔE_f (raw) ... -9.34 eV per formula unit
Density of states at the Fermi level ... 6.56 states/eV/cell
Space-group type ... No. 128
Size of the total moment ... 1.048 μB/f.u.

Cell lengths 8.636, 8.636, 8.909 Å; angles 90.00, 90.00, 90.00 degrees
Fractional positions:
1 Tl 0.846 0.346 0.250
2 Tl 0.154 0.654 0.250
3 Tl 0.346 0.154 0.250
4 Tl 0.654 0.846 0.250
5 Tl 0.846 0.346 0.750
6 Tl 0.346 0.154 0.750
7 Tl 0.154 0.654 0.750
8 Tl 0.654 0.846 0.750
9 Cl 0.500 0.500 0.253
10 Cl 0.629 0.217 0.000
11 Cl 0.283 0.871 0.500
12 Cl 0.500 0.500 0.747
13 Cl 0.129 0.283 0.500
14 Cl 0.217 0.371 0.000
15 Cl 0.717 0.129 0.500
16 Cl 0.371 0.783 0.000
17 Cl 0.783 0.629 0.000
18 Cl 0.871 0.717 0.500
19 Cl 0.000 0.000 0.753
20 Cl 0.000 0.000 0.247
21 Cu 0.500 0.500 0.000
22 Cu 0.000 0.000 0.500

A plane-wave DFT calculation with GGA-PBE was carried out for an optimized crystal structure of La2TiAlO.

Properties
ΔE_f (raw) ... -6.10 eV per formula unit
Density of states at the Fermi level ... 4.48 states/eV/cell
Space-group type ... No. 123
Size of the total moment ... 0.903 μB/f.u.

Cell lengths 5.226, 5.226, 4.030 Å; angles 90.00, 90.00, 90.00 degrees
Fractional positions:
1 Al 0.500 0.500 0.500
2 O 0.000 0.000 0.000
3 La 0.000 0.500 0.000
4 La 0.500 0.000 0.000
5 Ti 0.000 0.000 0.500

A plane-wave DFT calculation with GGA-PBE was carried out for an optimized crystal structure of V3RuSe.

Properties
ΔE_f (raw) ... 4.23 eV per formula unit
Density of states at the Fermi level ... 6.19 states/eV/cell
Excess energy over the best structure of this formula in the dataset ... 0 kJ/mol of formula units
Space-group type ... No. 221
Size of the total moment ... 1.892 μB/f.u.

Cell lengths 4.416, 4.416, 4.416 Å; angles 90.00, 90.00, 90.00 degrees
Fractional positions:
1 V 0.000 0.500 0.000
2 V 0.000 0.000 0.500
3 V 0.500 0.000 0.000
4 Ru 0.500 0.500 0.500
5 Se 0.000 0.000 0.000

A plane-wave DFT calculation with GGA-PBE was carried out for an optimized crystal structure of Ba3In2Sn9.

Properties
ΔH_f (0 K) ... -0.36 eV/atom
Density of states at the Fermi level ... 4.89 states/eV/cell
Space-group type ... No. 71
Size of the total moment ... 0.000 μB/f.u.

Cell lengths 5.310, 9.673, 9.673 Å; angles 75.54, 74.07, 74.07 degrees
Fractional positions:
1 Sn 0.348 0.015 0.288
2 Sn 0.146 0.128 0.579
3 Sn 0.146 0.579 0.128
4 Sn 0.652 0.985 0.712
5 Sn 0.348 0.288 0.015
6 Sn 0.854 0.421 0.872
7 Sn 0.652 0.712 0.985
8 Sn 0.854 0.872 0.421
9 Sn 0.000 0.500 0.500
10 Ba 0.305 0.695 0.695
11 Ba 0.695 0.305 0.305
12 Ba 0.000 0.000 0.000
13 In 0.500 0.319 0.681
14 In 0.500 0.681 0.319

A plane-wave DFT calculation with GGA-PBE was carried out for an optimized crystal structure of ScMnW2.

Properties
ΔH_f (0 K) ... 0.41 eV/atom
Density of states at the Fermi level ... 4.22 states/eV/cell
Excess energy over the best structure of this formula in the dataset ... 126 kJ/mol of formula units
Space-group type ... No. 160
Size of the total moment ... 0.452 μB/f.u.

Cell lengths 8.962, 8.962, 8.962 Å; angles 18.76, 18.76, 18.76 degrees
Fractional positions:
1 W 0.996 0.996 0.996
2 W 0.241 0.241 0.241
3 Mn 0.506 0.506 0.506
4 Sc 0.757 0.757 0.757

A plane-wave DFT calculation with GGA-PBE was carried out for an optimized crystal structure of AgGeOs2.

Properties
ΔH_f (0 K) ... 0.89 eV/atom
Density of states at the Fermi level ... 8.71 states/eV/cell
Space-group type ... No. 122
Size of the total moment ... 0.000 μB/f.u.

Cell lengths 3.948, 3.948, 9.738 Å; angles 78.31, 78.31, 90.00 degrees
Fractional positions:
1 Os 0.539 0.125 0.250
2 Os 0.211 0.625 0.250
3 Os 0.875 0.789 0.750
4 Os 0.375 0.461 0.750
5 Ge 0.250 0.750 0.500
6 Ge 0.500 0.500 0.000
7 Ag 0.000 0.000 0.000
8 Ag 0.750 0.250 0.500

A plane-wave DFT calculation with GGA-PBE was carried out for an optimized crystal structure of PmGe3Ir.

Properties
ΔH_f (0 K) ... -0.64 eV/atom
Density of states at the Fermi level ... 1.37 states/eV/cell
Excess energy over the best structure of this formula in the dataset ... 0 kJ/mol of formula units
Space-group type ... No. 107
Size of the total moment ... 0.000 μB/f.u.

Cell lengths 4.423, 4.423, 5.967 Å; angles 111.75, 111.75, 90.00 degrees
Fractional positions:
1 Pm 0.995 0.995 0.990
2 Ge 0.260 0.760 0.521
3 Ge 0.760 0.260 0.521
4 Ge 0.419 0.419 0.839
5 Ir 0.655 0.655 0.310

A plane-wave DFT calculation with GGA-PBE was carried out for an optimized crystal structure of Nd6SmHg5.

Properties
ΔH_f (0 K) ... -0.35 eV/atom
Density of states at the Fermi level ... 16.42 states/eV/cell
Space-group type ... No. 71
Size of the total moment ... 0.017 μB/f.u.

Cell lengths 5.401, 7.817, 9.519 Å; angles 114.24, 106.48, 90.00 degrees
Fractional positions:
1 Hg 0.670 0.670 0.339
2 Hg 0.000 0.500 0.000
3 Hg 0.650 0.150 0.299
4 Hg 0.350 0.850 0.701
5 Hg 0.330 0.330 0.661
6 Nd 0.173 0.429 0.346
7 Nd 0.827 0.084 0.654
8 Nd 0.173 0.916 0.346
9 Nd 0.827 0.571 0.654
10 Nd 0.500 0.273 0.000
11 Nd 0.500 0.727 0.000
12 Sm 0.000 0.000 0.000

A plane-wave DFT calculation with GGA-PBE was carried out for an optimized crystal structure of Nd2TmThP4.

Properties
ΔH_f (0 K) ... -1.57 eV/atom
Density of states at the Fermi level ... 1.48 states/eV/cell
Space-group type ... No. 10
Size of the total moment ... 0.000 μB/f.u.

Cell lengths 4.115, 7.097, 7.134 Å; angles 109.43, 90.00, 90.00 degrees
Fractional positions:
1 Nd 0.000 0.500 0.500
2 Nd 0.500 0.000 0.500
3 P 0.500 0.252 0.243
4 P 0.000 0.743 0.239
5 P 0.500 0.748 0.757
6 P 0.000 0.257 0.761
7 Th 0.000 0.000 0.000
8 Tm 0.500 0.500 0.000

A plane-wave DFT calculation with GGA-PBE was carried out for an optimized crystal structure of Hf6GeBi3.

Properties
ΔH_f (0 K) ... 0.02 eV/atom
Density of states at the Fermi level ... 15.27 states/eV/cell
Space-group type ... No. 36
Size of the total moment ... 0.000 μB/f.u.

Cell lengths 6.779, 8.883, 8.883 Å; angles 110.37, 90.00, 90.00 degrees
Fractional positions:
1 Hf 0.216 0.405 0.926
2 Hf 0.716 0.595 0.074
3 Hf 0.254 0.033 0.967
4 Hf 0.716 0.926 0.405
5 Hf 0.161 0.406 0.263
6 Hf 0.634 0.255 0.745
7 Hf 0.661 0.263 0.406
8 Hf 0.134 0.745 0.255
9 Hf 0.216 0.074 0.595
10 Hf 0.754 0.967 0.033
11 Hf 0.161 0.737 0.594
12 Hf 0.661 0.594 0.737
13 Bi 0.296 0.409 0.591
14 Bi 0.046 0.098 0.293
15 Bi 0.546 0.293 0.098
16 Bi 0.796 0.591 0.409
17 Bi 0.546 0.902 0.707
18 Bi 0.046 0.707 0.902
19 Ge 0.956 0.145 0.855
20 Ge 0.456 0.855 0.145

A plane-wave DFT calculation with GGA-PBE was carried out for an optimized crystal structure of MnFeCoCu.

Properties
ΔH_f (0 K) ... 0.12 eV/atom
Density of states at the Fermi level ... 3.36 states/eV/cell
Space-group type ... No. 216
Size of the total moment ... 7.746 μB/f.u.

Cell lengths 4.091, 4.091, 4.091 Å; angles 60.00, 60.00, 60.00 degrees
Fractional positions:
1 Mn 0.500 0.500 0.500
2 Cu 0.250 0.250 0.250
3 Co 0.750 0.750 0.750
4 Fe 0.000 0.000 0.000

A plane-wave DFT calculation with GGA-PBE was carried out for an optimized crystal structure of Hg4PAuCl2.

Properties
ΔE_f (raw) ... -0.34 eV per formula unit
Density of states at the Fermi level ... 4.89 states/eV/cell
Space-group type ... No. 74
Size of the total moment ... 0.000 μB/f.u.

Cell lengths 8.555, 8.555, 7.832 Å; angles 117.23, 117.23, 97.92 degrees
Fractional positions:
1 Hg 0.235 0.265 0.020
2 Hg 0.720 0.298 0.510
3 Hg 0.202 0.780 0.990
4 Hg 0.765 0.735 0.520
5 Hg 0.280 0.702 0.490
6 Hg 0.798 0.220 0.010
7 Hg 0.765 0.735 0.980
8 Hg 0.235 0.265 0.480
9 Au 0.000 0.500 0.000
10 Au 0.000 0.500 0.500
11 Cl 0.500 0.000 0.000
12 Cl 0.000 0.000 0.500
13 Cl 0.500 0.000 0.500
14 Cl 0.500 0.500 0.000
15 P 0.000 0.000 0.000
16 P 0.500 0.500 0.500

A plane-wave DFT calculation with GGA-PBE was carried out for an optimized crystal structure of CrGa4Ni15.

Properties
ΔH_f (0 K) ... -0.24 eV/atom
Density of states at the Fermi level ... 24.20 states/eV/cell
Space-group type ... No. 123
Size of the total moment ... 2.647 μB/f.u.

Cell lengths 3.568, 3.568, 17.877 Å; angles 90.00, 90.00, 90.00 degrees
Fractional positions:
1 Ni 0.500 0.500 0.399
2 Ni 0.000 0.500 0.701
3 Ni 0.500 0.000 0.096
4 Ni 0.500 0.500 0.803
5 Ni 0.500 0.500 0.197
6 Ni 0.000 0.500 0.299
7 Ni 0.000 0.500 0.500
8 Ni 0.500 0.000 0.299
9 Ni 0.500 0.000 0.701
10 Ni 0.500 0.000 0.904
11 Ni 0.500 0.000 0.500
12 Ni 0.000 0.500 0.096
13 Ni 0.500 0.500 0.601
14 Ni 0.000 0.500 0.904
15 Ni 0.500 0.500 0.000
16 Ga 0.000 0.000 0.400
17 Ga 0.000 0.000 0.600
18 Ga 0.000 0.000 0.800
19 Ga 0.000 0.000 0.200
20 Cr 0.000 0.000 0.000

A plane-wave DFT calculation with GGA-PBE was carried out for an optimized crystal structure of TlV3Ga.

Properties
ΔH_f (0 K) ... 1.77 eV/atom
Density of states at the Fermi level ... 13.76 states/eV/cell
Excess energy over the best structure of this formula in the dataset ... 384 kJ/mol of formula units
Space-group type ... No. 221
Size of the total moment ... 8.641 μB/f.u.

Cell lengths 5.085, 5.085, 5.085 Å; angles 90.00, 90.00, 90.00 degrees
Fractional positions:
1 V 0.500 0.000 0.000
2 V 0.000 0.000 0.500
3 V 0.000 0.500 0.000
4 Tl 0.000 0.000 0.000
5 Ga 0.500 0.500 0.500

A plane-wave DFT calculation with GGA-PBE was carried out for an optimized crystal structure of SiHgAs2.

Properties
ΔE_f (raw) ... 1.98 eV per formula unit
Density of states at the Fermi level ... 2.29 states/eV/cell
Space-group type ... No. 44
Size of the total moment ... 0.000 μB/f.u.

Cell lengths 5.855, 5.855, 5.855 Å; angles 145.32, 133.89, 58.96 degrees
Fractional positions:
1 Hg 0.504 0.504 0.000
2 As 0.786 0.286 0.500
3 As 0.001 0.001 0.000
4 Si 0.209 0.709 0.500

A plane-wave DFT calculation with GGA-PBE was carried out for an optimized crystal structure of CoSi2Hg.

Properties
ΔE_f (raw) ... 0.82 eV per formula unit
Density of states at the Fermi level ... 2.65 states/eV/cell
Space-group type ... No. 99
Size of the total moment ... 0.001 μB/f.u.

Cell lengths 2.901, 2.901, 7.590 Å; angles 90.00, 90.00, 90.00 degrees
Fractional positions:
1 Co 0.000 0.000 0.427
2 Si 0.000 0.000 0.074
3 Si 0.500 0.500 0.288
4 Hg 0.500 0.500 0.711